The following is a DFT calculation (PBE) of crystalline Rb2TeClF6 at its relaxed geometry.

Cell: 5.576 6.505 7.538 Å, 68.97 70.25 71.76°
Space group P-1 (No. 2)
One atom of each set of equivalent atoms:
1 Rb 0.174 0.324 0.302
2 Te 0.000 0.000 0.000
3 Cl 0.500 0.500 0.500
4 F 0.033 0.049 0.714
5 F 0.141 0.273 0.933
6 F 0.355 0.796 0.976

Summary:
**ΔE to the lowest computed polymorph**: 0 meV per atom
**Density**: 3.173 g/cm3
**DOS(E_F)**: 4.492 states/eV per cell
**Formation energy (no corrections)**: -2.165 eV/atom

***

The following is a DFT calculation (PBE) of crystalline RbTiCl2F at its relaxed geometry.

Cell: 5.824 5.824 4.734 Å, 90.00 90.00 90.00°
Space group P4/mmm (No. 123)
One atom of each set of equivalent atoms:
1 Rb 0.000 0.000 0.000
2 Ti 0.500 0.500 0.500
3 Cl 0.000 0.500 0.000
4 F 0.000 0.000 0.500

Summary:
**Density**: 2.308 g/cm3
**DOS(E_F)**: 16.658 states/eV per cell
**Formation energy (no corrections)**: -0.540 eV/atom

***

The following is a DFT calculation (PBE) of crystalline Rb2TiCl5F at its relaxed geometry.

Cell: 7.208 7.208 9.950 Å, 90.00 90.00 90.00°
Space group I4mm (No. 107)
One atom of each set of equivalent atoms:
1 Rb 0.000 0.500 0.000
2 Ti 0.000 0.000 0.247
3 Cl 0.000 0.000 0.486
4 Cl 0.233 0.233 0.250
5 F 0.000 0.000 0.063

Summary:
**Density**: 2.667 g/cm3
**DOS(E_F)**: 0.000 states/eV per cell
**Formation energy (no corrections)**: -2.045 eV/atom

***

The following is a DFT calculation (PBE) of crystalline Rb2TiCl4F2 at its relaxed geometry.

Cell: 11.481 7.144 5.757 Å, 90.00 101.39 90.00°
Space group C2/m (No. 12)
One atom of each set of equivalent atoms:
1 Rb 0.171 0.000 0.320
2 Ti 0.000 0.500 0.000
3 Cl 0.092 0.262 0.809
4 F 0.131 0.500 0.250

Summary:
**Density**: 2.860 g/cm3
**DOS(E_F)**: 0.000 states/eV per cell
**Formation energy (no corrections)**: -2.273 eV/atom

***

The following is a DFT calculation (PBE) of crystalline Rb2TiClF6 at its relaxed geometry.

Cell: 6.552 6.552 9.793 Å, 90.00 90.00 90.00°
Space group I4/mmm (No. 139)
One atom of each set of equivalent atoms:
1 Rb 0.000 0.500 0.250
2 Ti 0.000 0.000 0.000
3 Cl 0.000 0.000 0.500
4 F 0.000 0.000 0.193
5 F 0.204 0.204 0.000

Summary:
**Density**: 2.909 g/cm3
**DOS(E_F)**: 19.377 states/eV per cell
**Formation energy (no corrections)**: -2.733 eV/atom

***

The following is a DFT calculation (PBE) of crystalline Rb2TlCl3F3 at its relaxed geometry.

Cell: 7.5799 7.5799 4.1719 Å, 90.00 90.00 120.00°
Space group P-62m (No. 189)
One atom of each set of equivalent atoms:
1 Rb 0.3333 0.6667 0.0000
2 Tl 0.0000 0.0000 0.5000
3 Cl 0.0000 0.6632 0.5000
4 F 0.0000 0.2138 0.0000

Summary:
**Density**: 4.309 g/cm3
**DOS(E_F)**: 7.540 states/eV per cell
**Formation energy (no corrections)**: -1.455 eV/atom

***

The following is a DFT calculation (PBE) of crystalline RbTlClF2 at its relaxed geometry.

Cell: 4.761 4.761 5.606 Å, 90.00 90.00 90.00°
Space group P4/mmm (No. 123)
One atom of each set of equivalent atoms:
1 Rb 0.000 0.000 0.000
2 Tl 0.500 0.500 0.500
3 Cl 0.500 0.500 0.000
4 F 0.000 0.500 0.500

Summary:
**Density**: 4.748 g/cm3
**DOS(E_F)**: 0.889 states/eV per cell
**Formation energy (no corrections)**: -1.845 eV/atom

***

The following is a DFT calculation (PBE) of crystalline Rb2TlClF6 at its relaxed geometry.

Cell: 6.444 6.444 10.099 Å, 90.00 90.00 90.00°
Space group I4/mmm (No. 139)
One atom of each set of equivalent atoms:
1 Rb 0.000 0.500 0.250
2 Tl 0.000 0.000 0.000
3 Cl 0.000 0.000 0.500
4 F 0.000 0.000 0.211
5 F 0.242 0.242 0.000

Summary:
**Density**: 4.156 g/cm3
**DOS(E_F)**: 0.000 states/eV per cell
**Formation energy (no corrections)**: -1.792 eV/atom

***

The following is a DFT calculation (PBE) of crystalline Rb2TlCl6F at its relaxed geometry.

Cell: 8.065 8.065 9.094 Å, 90.00 90.00 90.00°
Space group I4/mmm (No. 139)
One atom of each set of equivalent atoms:
1 Rb 0.000 0.500 0.250
2 Tl 0.000 0.000 0.000
3 Cl 0.000 0.000 0.284
4 Cl 0.225 0.225 0.000
5 F 0.000 0.000 0.500

Summary:
**Density**: 3.409 g/cm3
**DOS(E_F)**: 0.000 states/eV per cell
**Formation energy (no corrections)**: -1.036 eV/atom

***

The following is a DFT calculation (PBE) of crystalline Rb2UCl4F2 at its relaxed geometry.

Cell: 11.938 7.744 5.717 Å, 90.00 99.44 90.00°
Space group C2/m (No. 12)
One atom of each set of equivalent atoms:
1 Rb 0.168 0.000 0.319
2 U 0.000 0.500 0.000
3 Cl 0.104 0.247 0.796
4 F 0.138 0.500 0.277

Summary:
**Density**: 3.751 g/cm3
**DOS(E_F)**: 2.226 states/eV per cell
**Formation energy (no corrections)**: -2.394 eV/atom

***

The following is a DFT calculation (PBE) of crystalline RbUCl2F8 at its relaxed geometry.

Cell: 6.5885 6.5885 7.5515 Å, 90.00 90.00 120.00°
Space group P-3m1 (No. 164)
One atom of each set of equivalent atoms:
1 Rb 0.0000 0.0000 0.0000
2 U 0.0000 0.0000 0.5000
3 Cl 0.3333 0.6667 0.3620
4 F 0.1429 0.2859 0.6737
5 F 0.3333 0.6667 0.1421

Summary:
**Density**: 3.196 g/cm3
**Formation energy (no corrections)**: -2.346 eV/atom